# 1
# Hf2Cr2Co | Alexandria | PBE-GGA | optimized geometry
# Calculated density, g/cm3: 10.9
# Calculated formation energy, eV per atom: 0.125
data_Hf2Cr2Co
_chemical_formula_sum 'Hf4 Cr4 Co2'
_cell_length_a 6.1490
_cell_length_b 6.1490
_cell_length_c 4.1814
_cell_angle_alpha 90.00
_cell_angle_beta 90.00
_cell_angle_gamma 90.00
_space_group_name_H-M_alt 'P 4/m b m'
_space_group_IT_number 127
_space_group_name_Hall '-P 4 2ab'
loop_
_atom_site_label
_atom_site_fract_x
_atom_site_fract_y
_atom_site_fract_z
Hf1 0.1800 0.3200 0.0000
Cr1 0.1227 0.6227 0.5000
Co1 0.0000 0.0000 0.5000


# 2
# NaCe2Fe | Alexandria | PBE-GGA | optimized geometry
# Calculated density, g/cm3: 4.8
# Calculated formation energy, eV per atom: 0.177
data_NaCe2Fe
_chemical_formula_sum 'Na3 Ce6 Fe3'
_cell_length_a 3.7629
_cell_length_b 3.7629
_cell_length_c 30.4116
_cell_angle_alpha 90.00
_cell_angle_beta 90.00
_cell_angle_gamma 120.00
_space_group_name_H-M_alt 'R -3 m'
_space_group_IT_number 166
_space_group_name_Hall '-R 3 2"'
loop_
_atom_site_label
_atom_site_fract_x
_atom_site_fract_y
_atom_site_fract_z
Na1 0.0000 0.0000 0.0000
Ce1 0.0000 0.0000 0.1189
Fe1 0.0000 0.0000 0.5000


# 3
# SiAg2Pt | Alexandria | PBE-GGA | optimized geometry
# Formation energy without anion corrections, kcal/mol of atoms: 4.316
# Calculated density, g/cm3: 11.0
data_SiAg2Pt
_chemical_formula_sum 'Si1 Ag2 Pt1'
_cell_length_a 2.8155
_cell_length_b 2.8155
_cell_length_c 8.3918
_cell_angle_alpha 90.00
_cell_angle_beta 90.00
_cell_angle_gamma 90.00
_space_group_name_H-M_alt 'P 4/m m m'
_space_group_IT_number 123
_space_group_name_Hall '-P 4 2'
loop_
_atom_site_label
_atom_site_fract_x
_atom_site_fract_y
_atom_site_fract_z
Si1 0.0000 0.0000 0.0000
Ag1 0.5000 0.5000 0.2488
Pt1 0.0000 0.0000 0.5000


# 4
# Ho2TcOs | Alexandria | PBE-GGA | optimized geometry
# Calculated density, g/cm3: 12.3
# Calculated formation energy, eV per atom: 0.680
data_Ho2TcOs
_chemical_formula_sum 'Ho6 Tc3 Os3'
_cell_length_a 3.1385
_cell_length_b 3.1385
_cell_length_c 29.3401
_cell_angle_alpha 90.00
_cell_angle_beta 90.00
_cell_angle_gamma 120.00
_space_group_name_H-M_alt 'R -3 m'
_space_group_IT_number 166
_space_group_name_Hall '-R 3 2"'
loop_
_atom_site_label
_atom_site_fract_x
_atom_site_fract_y
_atom_site_fract_z
Ho1 0.0000 0.0000 0.0927
Tc1 0.0000 0.0000 0.0000
Os1 0.0000 0.0000 0.5000


# 5
# MnSiOs2 | Alexandria | PBE-GGA | optimized geometry
# Formation energy without anion corrections, kcal/mol of atoms: -2.512
# Calculated density, g/cm3: 15.2
data_MnSiOs2
_chemical_formula_sum 'Mn1 Si1 Os2'
_cell_length_a 2.8085
_cell_length_b 2.8085
_cell_length_c 6.4365
_cell_angle_alpha 90.00
_cell_angle_beta 90.00
_cell_angle_gamma 90.00
_space_group_name_H-M_alt 'P 4 m m'
_space_group_IT_number 99
loop_
_space_group_symop_operation_xyz
'x,y,z'
'-y,x,z'
'-x,-y,z'
'y,-x,z'
'-x,y,z'
'y,x,z'
'x,-y,z'
'-y,-x,z'
loop_
_atom_site_label
_atom_site_fract_x
_atom_site_fract_y
_atom_site_fract_z
Mn1 0.0000 0.0000 0.0000
Si1 0.5000 0.5000 0.7939
Os1 0.0000 0.0000 0.5535
Os2 0.5000 0.5000 0.2595


# 6
# Pm3CoNi2 | Alexandria | PBE-GGA | optimized geometry
# Energy above the lowest structure with this stoichiometry, meV/atom: 62
# Calculated density, g/cm3: 8.2
# Calculated formation energy, eV per atom: -0.174
data_Pm3CoNi2
_chemical_formula_sum 'Pm3 Co1 Ni2'
_cell_length_a 3.4342
_cell_length_b 3.4342
_cell_length_c 10.5209
_cell_angle_alpha 90.00
_cell_angle_beta 90.00
_cell_angle_gamma 90.00
_space_group_name_H-M_alt 'P 4/m m m'
_space_group_IT_number 123
_space_group_name_Hall '-P 4 2'
loop_
_atom_site_label
_atom_site_fract_x
_atom_site_fract_y
_atom_site_fract_z
Pm1 0.0000 0.0000 0.0000
Pm2 0.0000 0.0000 0.3359
Co1 0.5000 0.5000 0.5000
Ni1 0.5000 0.5000 0.1661


# 7
# Na3WS | Alexandria | PBE-GGA | optimized geometry
# Energy above the lowest structure with this stoichiometry, meV/atom: 0
# Formation energy without anion corrections, kcal/mol of atoms: 16.626
# Calculated density, g/cm3: 3.1
data_Na3WS
_chemical_formula_sum 'Na3 W1 S1'
_cell_length_a 5.3176
_cell_length_b 5.3176
_cell_length_c 5.3176
_cell_angle_alpha 90.00
_cell_angle_beta 90.00
_cell_angle_gamma 90.00
_space_group_name_H-M_alt 'P m -3 m'
_space_group_IT_number 221
_space_group_name_Hall '-P 4 2 3'
loop_
_atom_site_label
_atom_site_fract_x
_atom_site_fract_y
_atom_site_fract_z
Na1 0.0000 0.0000 0.5000
W1 0.5000 0.5000 0.5000
S1 0.0000 0.0000 0.0000


# 8
# SrLiAs2O6 | Alexandria | PBE-GGA | optimized geometry
# Formation energy without anion corrections, kcal/mol of atoms: -39.774
# Calculated density, g/cm3: 3.7
data_SrLiAs2O6
_chemical_formula_sum 'Sr4 Li4 As8 O24'
_cell_length_a 11.0084
_cell_length_b 9.6181
_cell_length_c 6.4347
_cell_angle_alpha 90.00
_cell_angle_beta 116.78
_cell_angle_gamma 90.00
_space_group_name_H-M_alt 'C 1 2/c 1'
_space_group_IT_number 15
loop_
_space_group_symop_operation_xyz
'x,y,z'
'-x,-y,-z'
'-x,y,-z+1/2'
'x,-y,z+1/2'
'x+1/2,y+1/2,z'
'-x+1/2,-y+1/2,-z'
'-x+1/2,y+1/2,-z+1/2'
'x+1/2,-y+1/2,z+1/2'
loop_
_atom_site_label
_atom_site_fract_x
_atom_site_fract_y
_atom_site_fract_z
Sr1 0.0000 0.1364 0.2500
Li1 0.0000 0.2189 0.7500
As1 0.2033 0.4266 0.1790
O1 0.1210 0.0846 0.6849
O2 0.1234 0.2719 0.0743
O3 0.1588 0.4560 0.4343


# 9
# KLuPb2 | Alexandria | PBE-GGA | optimized geometry
# Energy above the lowest structure with this stoichiometry, meV/atom: 86
# Calculated density, g/cm3: 8.0
# Calculated formation energy, eV per atom: -0.184
data_KLuPb2
_chemical_formula_sum 'K3 Lu3 Pb6'
_cell_length_a 3.7360
_cell_length_b 3.7360
_cell_length_c 32.2899
_cell_angle_alpha 90.00
_cell_angle_beta 90.00
_cell_angle_gamma 120.00
_space_group_name_H-M_alt 'R -3 m'
_space_group_IT_number 166
_space_group_name_Hall '-R 3 2"'
loop_
_atom_site_label
_atom_site_fract_x
_atom_site_fract_y
_atom_site_fract_z
K1 0.0000 0.0000 0.0000
Lu1 0.0000 0.0000 0.5000
Pb1 0.0000 0.0000 0.2427


# 10
# Ac2Al6Ga3 | Alexandria | PBE-GGA | optimized geometry
# Calculated density, g/cm3: 5.7
# Calculated formation energy, eV per atom: -0.320
data_Ac2Al6Ga3
_chemical_formula_sum 'Ac2 Al6 Ga3'
_cell_length_a 7.9426
_cell_length_b 7.9426
_cell_length_c 4.3946
_cell_angle_alpha 90.00
_cell_angle_beta 90.00
_cell_angle_gamma 120.00
_space_group_name_H-M_alt 'P -6 2 m'
_space_group_IT_number 189
_space_group_name_Hall 'P -6 -2'
loop_
_atom_site_label
_atom_site_fract_x
_atom_site_fract_y
_atom_site_fract_z
Ac1 0.3333 0.6667 0.0000
Al1 0.0000 0.1901 0.0000
Al2 0.0000 0.7118 0.5000
Ga1 0.0000 0.3759 0.5000


# 11
# Nd3Y2Ho6Sc | Alexandria | PBE-GGA | optimized geometry
# Calculated density, g/cm3: 7.2
# Calculated formation energy, eV per atom: 0.031
data_Nd3Y2Ho6Sc
_chemical_formula_sum 'Nd6 Y4 Ho12 Sc2'
_cell_length_a 6.1588
_cell_length_b 10.6637
_cell_length_c 11.7482
_cell_angle_alpha 90.00
_cell_angle_beta 100.05
_cell_angle_gamma 90.00
_space_group_name_H-M_alt 'C 1 2/m 1'
_space_group_IT_number 12
loop_
_space_group_symop_operation_xyz
'x,y,z'
'-x,-y,-z'
'-x,y,-z'
'x,-y,z'
'x+1/2,y+1/2,z'
'-x+1/2,-y+1/2,-z'
'-x+1/2,y+1/2,-z'
'x+1/2,-y+1/2,z'
loop_
_atom_site_label
_atom_site_fract_x
_atom_site_fract_y
_atom_site_fract_z
Nd1 0.0000 0.0000 0.0000
Nd2 0.0000 0.3334 0.0000
Y1 0.0000 0.1664 0.5000
Ho1 0.2459 0.3349 0.7444
Ho2 0.2493 0.5000 0.2553
Sc1 0.0000 0.5000 0.5000


# 12
# Ba3Sr2Ag2 | Alexandria | PBE-GGA | optimized geometry
# Calculated density, g/cm3: 4.2
# Calculated formation energy, eV per atom: -0.159
data_Ba3Sr2Ag2
_chemical_formula_sum 'Ba6 Sr4 Ag4'
_cell_length_a 14.8353
_cell_length_b 4.4825
_cell_length_c 10.5806
_cell_angle_alpha 90.00
_cell_angle_beta 115.45
_cell_angle_gamma 90.00
_space_group_name_H-M_alt 'C 1 2/m 1'
_space_group_IT_number 12
loop_
_space_group_symop_operation_xyz
'x,y,z'
'-x,-y,-z'
'-x,y,-z'
'x,-y,z'
'x+1/2,y+1/2,z'
'-x+1/2,-y+1/2,-z'
'-x+1/2,y+1/2,-z'
'x+1/2,-y+1/2,z'
loop_
_atom_site_label
_atom_site_fract_x
_atom_site_fract_y
_atom_site_fract_z
Ba1 0.0000 0.0000 0.0000
Ba2 0.1170 0.0000 0.4318
Sr1 0.1709 0.5000 0.8154
Ag1 0.1797 0.5000 0.2269


# 13
# Fe2TcAs | Alexandria | PBE-GGA | optimized geometry
# Energy above the lowest structure with this stoichiometry, meV/atom: 180
# Calculated density, g/cm3: 8.6
# Calculated formation energy, eV per atom: 0.219
data_Fe2TcAs
_chemical_formula_sum 'Fe6 Tc3 As3'
_cell_length_a 2.8525
_cell_length_b 2.8525
_cell_length_c 23.4586
_cell_angle_alpha 90.00
_cell_angle_beta 90.00
_cell_angle_gamma 120.00
_space_group_name_H-M_alt 'R 3 m'
_space_group_IT_number 160
_space_group_name_Hall 'R 3 -2"'
loop_
_atom_site_label
_atom_site_fract_x
_atom_site_fract_y
_atom_site_fract_z
Fe1 0.0000 0.0000 0.0000
Fe2 0.0000 0.0000 0.2550
Tc1 0.0000 0.0000 0.5014
As1 0.0000 0.0000 0.7495